[1]
Sr3LaY3Te8 GGA-PBE optimized geometry; formation energy without anion corrections = -23.19 eV/f.u.
1.0
8.9523 0.0000 0.0000
-4.4761 7.7531 -0.0281
0.0000 -5.1410 7.6202
Te Y Sr La
8 3 3 1
Cartesian
2.3383 -1.2271 1.9950 Te
2.1378 3.8392 5.5971 Te
0.0000 0.1363 5.6106 Te
4.4761 0.0203 5.5584 Te
6.6139 -1.2271 1.9950 Te
0.0000 2.5918 2.0337 Te
4.4761 2.4758 1.9815 Te
-2.1378 3.8392 5.5971 Te
2.2381 1.3061 3.7961 Y
4.4761 -2.5705 3.8101 Y
-2.2381 1.3061 3.7961 Y
-2.2381 3.8765 -0.0140 Sr
0.0000 0.0000 0.0000 Sr
2.2381 3.8765 -0.0140 Sr
0.0000 -2.5705 3.8101 La

=====

[2]
TiFe2Cu GGA-PBE optimized geometry; ΔE_f = 0.34 eV per atom
1.0
-1.0887 -0.9004 3.2608
-0.9780 -3.1955 -1.2089
6.9003 -5.1537 2.8172
Cu Ti Fe
2 2 4
Cartesian
0.0000 0.0000 0.0000 Cu
2.3891 -4.0510 3.5520 Cu
-1.0334 -2.0479 1.0260 Ti
2.4445 -5.1986 1.3172 Ti
0.9794 -3.3968 0.3513 Fe
4.4017 -5.3963 2.8843 Fe
0.9207 -2.2520 2.5962 Fe
3.3653 -7.4541 3.9065 Fe

=====

[3]
Y2CuSe GGA-PBE optimized geometry; formation energy without anion corrections = -3.78 eV/f.u.; excess energy over the best structure of this formula in the dataset = 0.32 eV/f.u.
1.0
-1.7038 3.0034 -1.9379
-3.5258 1.3627 1.1794
1.4699 6.0560 4.0467
Cu Se Y
1 1 2
Cartesian
-2.8198 7.8165 2.4662 Cu
-0.9399 2.6055 0.8221 Se
-1.8664 5.2318 1.6629 Y
1.4565 6.0352 4.0280 Y

=====

[4]
BaOs2Se GGA-PBE optimized geometry; formation energy without anion corrections = 1.80 eV/f.u.
1.0
3.0007 0.0000 0.0000
0.0000 3.7554 0.0000
0.0000 0.0000 7.5753
Os Ba Se
2 1 1
Cartesian
0.0000 0.0000 0.6184 Os
1.5003 1.8777 1.6786 Os
1.5003 1.8777 5.7582 Ba
0.0000 0.0000 3.3077 Se

=====

[5]
La2PuSe5 GGA-PBE optimized geometry; formation energy without anion corrections = -13.87 eV/f.u.
1.0
-1.4029 3.7334 -1.6342
-4.9147 -4.0119 -4.9462
-8.9793 0.3921 8.6041
La Pu Se
4 2 10
Cartesian
-10.3534 0.3713 4.0525 La
-11.4337 -1.6948 0.2599 La
-4.9435 -0.2577 -2.0287 La
-3.8632 1.8083 1.7639 La
0.0000 0.0000 0.0000 Pu
-6.9470 -1.8099 1.8290 Pu
-7.5695 0.8061 2.6560 Se
-4.4897 0.1960 4.3021 Se
-7.9657 -0.3523 6.0334 Se
-2.3733 1.1869 -0.9349 Se
-2.4573 -2.0059 -2.4731 Se
-7.7274 -0.6926 -0.6323 Se
-5.9283 -3.2675 -2.3754 Se
-4.3051 -1.2251 0.8969 Se
-12.9236 -1.0733 2.9587 Se
-9.5889 -2.3947 2.7610 Se

=====

[6]
TiGaN2O GGA-PBE optimized geometry; formation energy without anion corrections = -0.81 eV/f.u.
1.0
4.0155 0.0000 0.0000
0.0000 4.0155 0.0000
0.0000 0.0000 3.7723
Ti N O Ga
1 2 1 1
Cartesian
0.0000 0.0000 0.0000 Ti
0.0000 2.0077 0.0000 N
2.0077 0.0000 0.0000 N
0.0000 0.0000 1.8861 O
2.0077 2.0077 1.8861 Ga

=====

| no. | total DFT energy (no corrections) (eV per atom) | total moment (μB/atom) |
| --- | --- | --- |
| 1 | -5.1790 | 0.00 |
| 2 | -6.8915 | 0.93 |
| 3 | -6.0720 | 0.00 |
| 4 | -6.5161 | 0.00 |
| 5 | -6.9347 | 0.50 |
| 6 | -6.6680 | 0.01 |